Y2Zn4CdGa3 PBE optimized geometry; crystal system = tetragonal; energy of formation = -0.38 eV per atom; SG = P-4m2; density = 6.60 g/cm3; calculated total energy = -3.184 eV/atom
1.0
4.197 0.000 0.000
0.000 4.197 0.000
0.000 0.000 10.865
Ga Y Cd Zn
3 2 1 4
Direct
0.000 0.000 0.500
0.500 0.000 0.867
0.000 0.500 0.133
0.500 0.000 0.237
0.000 0.500 0.763
0.500 0.500 0.500
0.500 0.000 0.647
0.000 0.000 0.000
0.500 0.500 0.000
0.000 0.500 0.353

YZrCdGa PBE optimized geometry; crystal system = cubic; energy of formation = -0.32 eV per atom; SG = F-43m; density = 6.76 g/cm3; calculated total energy = -5.060 eV/atom
1.0
5.010 0.000 0.000
2.505 4.339 0.000
2.505 1.446 4.091
Y Cd Ga Zr
1 1 1 1
Direct
0.750 0.750 0.750
0.000 0.000 0.000
0.500 0.500 0.500
0.250 0.250 0.250

Zn3Cd5Ga12 PBE optimized geometry; crystal system = cubic; energy of formation = 0.19 eV per atom; SG = Ia-3d; density = 5.63 g/cm3; calculated total energy = -2.049 eV/atom
1.0
13.470 0.000 0.000
-4.490 12.700 0.000
-4.490 -6.350 10.999
Ga Cd Zn
48 20 12
Direct
0.938 0.837 0.577
0.260 0.861 0.923
0.923 0.361 0.260
0.062 0.899 0.139
0.399 0.139 0.562
0.740 0.601 0.163
0.062 0.163 0.423
0.361 0.923 0.760
0.337 0.760 0.399
0.577 0.240 0.139
0.337 0.577 0.438
0.139 0.740 0.577
0.861 0.601 0.938
0.740 0.139 0.077
0.260 0.399 0.837
0.760 0.337 0.899
0.938 0.101 0.861
0.361 0.438 0.101
0.639 0.077 0.240
0.423 0.760 0.861
0.663 0.240 0.601
0.663 0.423 0.562
0.077 0.438 0.837
0.577 0.337 0.938
0.101 0.938 0.361
0.899 0.062 0.639
0.760 0.423 0.361
0.438 0.077 0.337
0.438 0.361 0.601
0.562 0.923 0.663
0.837 0.938 0.077
0.861 0.260 0.423
0.163 0.101 0.740
0.077 0.639 0.740
0.899 0.837 0.760
0.639 0.562 0.899
0.139 0.399 0.062
0.163 0.062 0.923
0.423 0.663 0.062
0.923 0.562 0.163
0.240 0.663 0.101
0.562 0.639 0.399
0.601 0.740 0.663
0.101 0.163 0.240
0.837 0.899 0.260
0.601 0.861 0.438
0.399 0.260 0.337
0.240 0.577 0.639
0.500 0.500 0.500
0.750 0.625 0.375
0.500 0.000 0.000
0.125 0.375 0.250
0.500 0.000 0.500
0.875 0.250 0.625
0.000 0.000 0.500
0.875 0.625 0.750
0.250 0.375 0.625
0.750 0.125 0.875
0.000 0.500 0.500
0.500 0.500 0.000
0.375 0.125 0.750
0.250 0.875 0.125
0.000 0.000 0.000
0.000 0.500 0.000
0.625 0.875 0.250
0.375 0.250 0.125
0.625 0.750 0.875
0.125 0.750 0.375
0.750 0.875 0.625
0.125 0.250 0.875
0.625 0.375 0.750
0.250 0.125 0.375
0.375 0.750 0.625
0.875 0.125 0.250
0.625 0.250 0.375
0.250 0.625 0.875
0.125 0.875 0.750
0.750 0.375 0.125
0.375 0.625 0.250
0.875 0.750 0.125

Zn7CdGa3 PBE optimized geometry; crystal system = monoclinic; energy of formation = 0.13 eV per atom; SG = C2/m; density = 6.37 g/cm3; calculated total energy = -1.587 eV/atom
1.0
5.331 -0.248 -0.317
-2.707 6.379 0.230
-2.707 -1.323 6.244
Zn Ga Cd
7 3 1
Direct
0.321 0.588 0.068
0.255 0.168 0.168
0.321 0.068 0.588
0.679 0.412 0.932
0.679 0.932 0.412
0.745 0.832 0.832
0.000 0.500 0.500
0.500 0.000 0.000
0.000 0.762 0.238
0.000 0.238 0.762
0.500 0.500 0.500

Zn3CdGa PBE optimized geometry; crystal system = cubic; energy of formation = 0.31 eV per atom; ΔE to the lowest computed polymorph = 156.9 meV/atom; SG = Pm-3m; density = 5.43 g/cm3; calculated total energy = -1.240 eV/atom
1.0
4.873 0.000 0.000
0.000 4.873 0.000
0.000 0.000 4.873
Cd Zn Ga
1 3 1
Direct
0.500 0.500 0.500
0.000 0.000 0.500
0.000 0.500 0.000
0.500 0.000 0.000
0.000 0.000 0.000

Zn12Cd2Ga PBE optimized geometry; crystal system = tetragonal; energy of formation = 0.09 eV per atom; SG = P4/nbm; density = 6.79 g/cm3; calculated total energy = -1.253 eV/atom
1.0
5.417 0.000 0.000
0.000 5.417 0.000
0.000 0.000 17.995
Zn Cd Ga
24 4 2
Direct
0.750 0.750 0.898
0.750 0.250 0.102
0.000 0.000 0.657
0.500 0.500 0.797
0.250 0.750 0.898
0.000 0.000 0.343
0.000 0.000 0.797
0.830 0.670 0.437
0.670 0.170 0.437
0.250 0.250 0.898
0.750 0.750 0.102
0.170 0.330 0.437
0.500 0.500 0.657
0.000 0.000 0.203
0.170 0.670 0.563
0.830 0.330 0.563
0.670 0.830 0.563
0.500 0.500 0.343
0.500 0.500 0.203
0.250 0.250 0.102
0.750 0.250 0.898
0.250 0.750 0.102
0.330 0.170 0.563
0.330 0.830 0.437
0.000 0.500 0.729
0.500 0.000 0.729
0.000 0.500 0.271
0.500 0.000 0.271
0.500 0.000 0.000
0.000 0.500 0.000